The following is a PBE calculation of an optimized crystal structure of LiAl2Zn4, from Alexandria via LeMat-Bulk.

Calculated values
Its energy above the most stable polymorph in this dataset is 240 meV/atom. The calculation puts the volume at 264 Å³ per cell. Its formation energy is 0.327 eV/atom.

Unit cell a=4.5545 b=4.5545 c=12.7339 alpha=90.00 beta=90.00 gamma=90.00
Last column: nearest neighbours and their distance in Å.
Space group I4/mmm (No. 139)
Asymmetric unit:
1 Li 0.0000 0.0000 0.0000 x2  6 Zn 2.28-2.40
2 Al 0.0000 0.0000 0.3864 x4  5 Zn 2.52-2.70
3 Zn 0.0000 0.0000 0.1882 x4  1 Li 2.40, 1 Al 2.52
4 Zn 0.0000 0.5000 0.0000 x4  2 Li 2.28


The following is a PBE calculation of an optimized crystal structure of LiAl2Zn, from Alexandria via LeMat-Bulk.

Calculated values
The calculation puts the volume at 126 Å³ per cell. Its formation energy is -0.100 eV/atom.

Unit cell a=5.6006 b=5.6728 c=4.8079 alpha=90.00 beta=124.33 gamma=90.00
Last column: nearest neighbours and their distance in Å.
Space group C2 (No. 5)
Asymmetric unit:
1 Li 0.0000 0.0000 0.0000 x2  4 Zn 2.79-2.84, 8 Al 2.79-2.84
2 Al 0.0000 0.2497 0.5000 x2  4 Li 2.79-2.84, 4 Al 2.79-2.83, 4 Zn 2.80-2.84
3 Al 0.0000 0.5007 0.0000 x2  4 Zn 2.79-2.84, 4 Al 2.79-2.83, 4 Li 2.80-2.84
4 Zn 0.0000 0.7504 0.5000 x2  4 Li 2.79-2.84, 8 Al 2.79-2.84


The following is a PBE calculation of an optimized crystal structure of Li2AlZn, from Alexandria via LeMat-Bulk.

Calculated values
The calculation puts the volume at 127 Å³ per cell. Its formation energy is -0.103 eV/atom.

Unit cell a=9.4682 b=2.8650 c=4.7893 alpha=90.00 beta=102.88 gamma=90.00
Last column: nearest neighbours and their distance in Å.
Space group C2/m (No. 12)
Asymmetric unit:
1 Li 0.2471 0.0000 0.2483 x4  3 Zn 2.77-2.90, 6 Li 2.79-2.87, 3 Al 2.82-2.86
2 Al 0.0000 0.0000 0.5000 x2  4 Zn 2.79, 6 Li 2.82-2.86, 2 Al 2.87
3 Zn 0.0000 0.5000 0.0000 x2  6 Li 2.77-2.90, 4 Al 2.79, 2 Zn 2.87


The following is a PBE calculation of an optimized crystal structure of Li2AlZn5, from Alexandria via LeMat-Bulk.

Calculated values
Its energy above the most stable polymorph in this dataset is 49 meV/atom. The calculation puts the volume at 242 Å³ per cell. Its formation energy is -0.091 eV/atom.

Unit cell a=4.0477 b=4.0477 c=14.7884 alpha=90.00 beta=90.00 gamma=90.00
Last column: nearest neighbours and their distance in Å.
Space group I4/mmm (No. 139)
Asymmetric unit:
1 Li 0.0000 0.0000 0.2495 x4  8 Zn 2.73-2.74, 4 Li 2.86
2 Al 0.0000 0.0000 0.0000 x2  12 Zn 2.75-2.86
3 Zn 0.0000 0.0000 0.5000 x2  8 Zn 2.75, 4 Al 2.86
4 Zn 0.0000 0.5000 0.1260 x8  4 Li 2.73-2.74, 2 Al 2.75, 6 Zn 2.75-2.86